! Na3Cd2Ge4 | the Alexandria database | GGA-PBE | optimized geometry; values from VASP
&SYSTEM
  ibrav = 0, nat = 9, ntyp = 3
/
ATOMIC_SPECIES
Na 22.99 Na.upf
Cd 112.41 Cd.upf
Ge 72.64 Ge.upf
CELL_PARAMETERS angstrom
4.502 0.000 0.000
-2.244 5.526 0.000
-0.010 -2.480 8.600
ATOMIC_POSITIONS angstrom
Na 0.000 0.000 0.000
Na -0.002 2.680 2.968
Na 2.250 0.366 5.632
Cd -0.002 2.845 6.486
Cd 2.251 0.201 2.114
Ge 0.000 -0.355 3.515
Ge -0.005 0.977 8.566
Ge 2.254 2.069 0.034
Ge 2.249 3.400 5.085
! * calculated formation energy: -0.043 eV/atom
! * symmetry: P-1 (2)
! * density: 4.535 g/cm3
! * DFT total energy: -24.646 eV per formula unit
! * total magnetic moment: 0.00 μB per atom